This record from the Alexandria database describes an optimized crystal structure of NaHg4Bi. The functional is PBE.

Calculated values
The value obtained for the density of states at the Fermi level is 5.1 states/eV per cell. As for the energy above the lowest structure with this stoichiometry: 19 meV/atom.

Cell lengths 8.6397, 8.6397, 9.4666 Å; angles 90.00, 90.00, 147.18 degrees
Element x y z (fractional)
1 Na 0.1324 0.8676 0.7500
2 Na 0.8676 0.1324 0.2500
3 Hg 0.0000 0.0000 0.0000
4 Hg 0.0000 0.0000 0.5000
5 Hg 0.2006 0.7994 0.0589
6 Hg 0.2006 0.7994 0.4411
7 Hg 0.4849 0.5151 0.2500
8 Hg 0.5151 0.4849 0.7500
9 Hg 0.7994 0.2006 0.5589
10 Hg 0.7994 0.2006 0.9411
11 Bi 0.3270 0.6730 0.7500
12 Bi 0.6730 0.3270 0.2500